Record 1
Entry from Alexandria via LeMat-Bulk: a geometry-optimized La2TmPu3Te6 structure (PBE).

Unit cell a=9.968 b=9.968 c=8.957 alpha=102.51 beta=102.51 gamma=25.78
Fractional coordinates of all 12 atoms:
La 0.166 0.166 0.336
La 0.834 0.834 0.664
Tm 0.500 0.500 0.000
Pu 0.171 0.171 0.837
Pu 0.500 0.500 0.500
Pu 0.829 0.829 0.163
Te 0.004 0.004 0.760
Te 0.335 0.335 0.408
Te 0.338 0.338 0.925
Te 0.662 0.662 0.075
Te 0.665 0.665 0.592
Te 0.996 0.996 0.240

M_tot in μB/f.u.: 5.83
Total DFT energy (no corrections) in eV/atom: -7.621
E_form (uncorrected) in eV/atom: -1.27

Record 2
Entry from Alexandria via LeMat-Bulk: a geometry-optimized La3Tm2PuTe6 structure (PBE).

Unit cell a=8.916 b=8.916 c=11.197 alpha=107.88 beta=107.88 gamma=26.12
Fractional coordinates of all 12 atoms:
La 0.000 0.000 0.000
La 0.324 0.324 0.183
La 0.676 0.676 0.817
Tm 0.160 0.160 0.314
Tm 0.840 0.840 0.686
Pu 0.000 0.000 0.500
Te 0.191 0.191 0.597
Te 0.338 0.338 0.907
Te 0.482 0.482 0.721
Te 0.518 0.518 0.279
Te 0.662 0.662 0.093
Te 0.809 0.809 0.403

M_tot in μB/f.u.: 6.57
Total DFT energy (no corrections) in eV/atom: -5.978
E_form (uncorrected) in eV/atom: -1.24

Record 3
Entry from Alexandria via LeMat-Bulk: a geometry-optimized La3Y2PuTe6 structure (PBE).

Unit cell a=10.040 b=10.040 c=9.020 alpha=103.38 beta=103.38 gamma=25.64
Fractional coordinates of all 12 atoms:
La 0.000 0.000 0.000
La 0.335 0.335 0.667
La 0.665 0.665 0.333
Y 0.336 0.336 0.171
Y 0.664 0.664 0.829
Pu 0.000 0.000 0.500
Te 0.165 0.165 0.592
Te 0.171 0.171 0.074
Te 0.497 0.497 0.256
Te 0.503 0.503 0.744
Te 0.829 0.829 0.926
Te 0.835 0.835 0.408

M_tot in μB/f.u.: 6.13
Total DFT energy (no corrections) in eV/atom: -6.505
E_form (uncorrected) in eV/atom: -1.43